{
  "formula": "Be4CrCu",
  "functional": "PBE-GGA",
  "state": "optimized geometry",
  "total_magnetization_mub_per_cell": 3.717,
  "vol_a3_per_cell": 57.6,
  "sg": "F-43m (216)",
  "ef_ev_per_atom": -0.0051,
  "n_ef_per_ev_atom": 0.595,
  "cell": [[0.000, 3.065, 3.065], [3.065, 0.000, 3.065], [3.065, 3.065, 0.000]],
  "species": ["Cr", "Be", "Be", "Be", "Be", "Cu"],
  "frac_coords": [[0.750, 0.750, 0.750], [0.375, 0.875, 0.375], [0.375, 0.375, 0.375], [0.875, 0.375, 0.375], [0.375, 0.375, 0.875], [0.000, 0.000, 0.000]]
}